Crystalline NaLiSc3 at its relaxed geometry, computed with PBE.

Lattice parameters (Å, degrees): 5.3457 5.3457 5.3457 90.00 90.00 90.00
Space group Pm-3m (No. 221)
Asymmetric unit:
Na 0.0000 0.0000 0.0000 [1 per cell]
Li 0.5000 0.5000 0.5000 [1 per cell]
Sc 0.0000 0.0000 0.5000 [3 per cell]

Results
DOS(E_F) (states/eV per atom): 1.221
Calculated volume (Å³/cell): 153
Energy of formation from the pure elements (eV per atom): 1.06